# Li2InPb

A relaxed Li2InPb crystal (GGA-PBEsol, the Alexandria database).

## Properties
* energy of formation: -0.24 eV per atom
* ΔE to the lowest computed polymorph: 52.2 meV per atom
* SG: Imm2
* crystal system: orthorhombic

Structure (extended XYZ):
```
4
Lattice="3.6821 0.0000 0.0000 0.0000 4.6430 0.0000 -1.8411 -2.3215 4.9422" Properties=species:S:1:pos:R:3 pbc="T T T"
In 0.0000 2.3215 2.5471
Li 1.8411 0.0000 2.4160
Li 0.0000 0.0000 0.0177
Pb 0.0000 0.0000 4.9036
```

=====

# CrCo3

A relaxed CrCo3 crystal (GGA-PBEsol, the Alexandria database).

## Properties
* energy of formation: -0.04 eV per atom
* ΔE to the lowest computed polymorph: 0.0 meV per atom
* SG: P6_3/mmc
* crystal system: hexagonal

Structure (extended XYZ):
```
8
Lattice="-2.5031 1.4143 2.6373 -3.6355 -2.5247 -2.0966 2.6376 -2.0308 3.5924" Properties=species:S:1:pos:R:3 pbc="T T T"
Co -1.3952 -0.8221 0.5596
Cr -3.4218 -1.2994 1.7777
Co -1.6051 -0.0330 2.8229
Co -3.2196 -2.0892 -0.4926
Co -2.1059 -2.3191 3.5736
Co -1.8960 -3.1083 1.3103
Co -0.2814 -1.0521 4.6257
Cr -0.0792 -1.8419 2.3554
```

=====

# AlS2NF

A relaxed AlS2NF crystal (GGA-PBEsol, the Alexandria database).

## Properties
* formation energy from raw total energies: 0.461 eV per atom
* SG: P4/mmm
* crystal system: tetragonal

Structure (extended XYZ):
```
5
Lattice="-0.8094 2.1241 -2.8096 -4.0671 0.9164 1.8644 1.8082 3.5795 2.1852" Properties=species:S:1:pos:R:3 pbc="T T T"
N -0.4047 1.0620 -1.4048
S -2.0336 0.4582 0.9322
Al 0.0000 0.0000 0.0000
S 0.9041 1.7897 1.0926
F -1.5342 3.3100 0.6200
```

=====

# YTa2Ag

A relaxed YTa2Ag crystal (GGA-PBEsol, the Alexandria database).

## Properties
* energy of formation: 0.18 eV per atom
* SG: P4mm
* crystal system: tetragonal

Structure (extended XYZ):
```
4
Lattice="-2.2109 -0.5317 -2.5819 -0.4542 -3.2425 1.0566 -5.1556 2.0249 3.9977" Properties=species:S:1:pos:R:3 pbc="T T T"
Y -2.5669 1.0082 1.9904
Ta -0.1180 0.0464 0.0915
Ta -2.4030 -1.4667 0.0674
Ag -5.3105 -0.3247 2.3220
```

=====

# UOs2

A relaxed UOs2 crystal (GGA-PBEsol, the Alexandria database).

## Properties
* energy of formation: -0.05 eV per atom
* SG: P6_3/mmc
* crystal system: hexagonal

Structure (extended XYZ):
```
12
Lattice="-2.2096 -4.3540 2.2701 5.2281 1.0589 0.7340 -1.8176 4.3787 6.6291" Properties=species:S:1:pos:R:3 pbc="T T T"
Os 1.5159 1.3074 7.0668
U -0.8014 0.0305 5.6643
U 2.0023 1.0531 3.9689
U 2.5866 -0.3545 1.8377
U -1.3857 1.4382 7.7954
Os -0.3150 -0.2237 2.5663
Os 0.0000 0.0000 0.0000
Os -1.3820 -2.3263 3.6626
Os 1.1427 -1.8149 4.0170
Os 0.0582 2.8986 5.6161
Os 2.5829 3.4100 5.9706
Os -0.9088 2.1893 3.3145
```

=====

# In2AgHg

A relaxed In2AgHg crystal (GGA-PBEsol, the Alexandria database).

## Properties
* energy of formation: 0.03 eV per atom
* SG: I-4m2
* crystal system: tetragonal

Structure (extended XYZ):
```
4
Lattice="4.3792 0.0000 0.0000 0.0000 4.3792 0.0000 -2.1896 -2.1896 4.4887" Properties=species:S:1:pos:R:3 pbc="T T T"
Hg 0.0000 2.1896 2.2444
Ag 2.1896 2.1896 0.0000
In 2.1896 0.0000 2.2444
In 0.0000 0.0000 0.0000
```

=====

What did the third record say?
# AlS2NF

A relaxed AlS2NF crystal (GGA-PBEsol, the Alexandria database).

## Properties
* formation energy from raw total energies: 0.461 eV per atom
* SG: P4/mmm
* crystal system: tetragonal

Structure (extended XYZ):
```
5
Lattice="-0.8094 2.1241 -2.8096 -4.0671 0.9164 1.8644 1.8082 3.5795 2.1852" Properties=species:S:1:pos:R:3 pbc="T T T"
N -0.4047 1.0620 -1.4048
S -2.0336 0.4582 0.9322
Al 0.0000 0.0000 0.0000
S 0.9041 1.7897 1.0926
F -1.5342 3.3100 0.6200
```